Run w
# PrBRh GGA-PBE relaxed
data_PrBRh
_chemical_formula_sum 'Pr2 B2 Rh2'
_cell_length_a 3.477
_cell_length_b 4.169
_cell_length_c 7.301
_cell_angle_alpha 90.00
_cell_angle_beta 90.00
_cell_angle_gamma 90.00
_space_group_name_H-M_alt 'P m m a'
_space_group_IT_number 51
_space_group_name_Hall '-P 2a 2a'
loop_
_atom_site_label
_atom_site_type_symbol
_atom_site_fract_x
_atom_site_fract_y
_atom_site_fract_z
_atom_site_occupancy
Pr1 Pr 0.250 0.000 0.232 1
B1 B 0.250 0.500 0.946 1
Rh1 Rh 0.250 0.500 0.637 1
# * total magnetic moment: 0.00 μB/f.u.
# * density of states at the Fermi level: 0.401 states/eV/atom

***

Run x
# PrBRh GGA-PBE relaxed
data_PrBRh
_chemical_formula_sum 'Pr1 B1 Rh1'
_cell_length_a 3.7232
_cell_length_b 3.7232
_cell_length_c 4.4606
_cell_angle_alpha 90.00
_cell_angle_beta 90.00
_cell_angle_gamma 120.00
_space_group_name_H-M_alt 'P -6 m 2'
_space_group_IT_number 187
_space_group_name_Hall 'P -6 2'
loop_
_atom_site_label
_atom_site_type_symbol
_atom_site_fract_x
_atom_site_fract_y
_atom_site_fract_z
_atom_site_occupancy
Pr1 Pr 0.0000 0.0000 0.0000 1
B1 B 0.3333 0.6667 0.5000 1
Rh1 Rh 0.6667 0.3333 0.5000 1
# * total magnetic moment: 0.00 μB/f.u.
# * density of states at the Fermi level: 0.830 states/eV/atom

***

Run y
# PrBRh GGA-PBE relaxed
data_PrBRh
_chemical_formula_sum 'Pr6 B6 Rh6'
_cell_length_a 4.6372
_cell_length_b 4.6372
_cell_length_c 17.9044
_cell_angle_alpha 90.00
_cell_angle_beta 90.00
_cell_angle_gamma 120.00
_space_group_name_H-M_alt 'R -3 m'
_space_group_IT_number 166
_space_group_name_Hall '-R 3 2"'
loop_
_atom_site_label
_atom_site_type_symbol
_atom_site_fract_x
_atom_site_fract_y
_atom_site_fract_z
_atom_site_occupancy
Pr1 Pr 0.0000 0.0000 0.1039 1
B1 B 0.0000 0.0000 0.2661 1
Rh1 Rh 0.0000 0.0000 0.3743 1
# * total magnetic moment: 0.00 μB/f.u.
# * density of states at the Fermi level: 0.801 states/eV/atom

***

Run z
# PrBRh GGA-PBE relaxed
data_PrBRh
_chemical_formula_sum 'Pr2 B2 Rh2'
_cell_length_a 3.036
_cell_length_b 3.036
_cell_length_c 10.597
_cell_angle_alpha 90.00
_cell_angle_beta 90.00
_cell_angle_gamma 90.00
_space_group_name_H-M_alt 'I 4 m m'
_space_group_IT_number 107
_space_group_name_Hall 'I 4 -2'
loop_
_atom_site_label
_atom_site_type_symbol
_atom_site_fract_x
_atom_site_fract_y
_atom_site_fract_z
_atom_site_occupancy
Pr1 Pr 0.000 0.000 0.000 1
B1 B 0.000 0.000 0.704 1
Rh1 Rh 0.000 0.000 0.275 1
# * total magnetic moment: 0.00 μB/f.u.
# * density of states at the Fermi level: 0.948 states/eV/atom

***

Of them, run x has the highest stability.

***

Run w
# PrBRu GGA-PBE relaxed
data_PrBRu
_chemical_formula_sum 'Pr2 B2 Ru2'
_cell_length_a 3.961
_cell_length_b 3.961
_cell_length_c 7.719
_cell_angle_alpha 90.00
_cell_angle_beta 90.00
_cell_angle_gamma 90.00
_space_group_name_H-M_alt 'P 4/n m m'
_space_group_IT_number 129
loop_
_space_group_symop_operation_xyz
'x,y,z'
'-x,-y,-z'
'-y+1/2,x,z'
'y+1/2,-x,-z'
'-x+1/2,-y+1/2,z'
'x+1/2,y+1/2,-z'
'y,-x+1/2,z'
'-y,x+1/2,-z'
'x+1/2,-y,-z'
'-x+1/2,y,z'
'-y,-x,-z'
'y,x,z'
'-x,y+1/2,-z'
'x,-y+1/2,z'
'y+1/2,x+1/2,-z'
'-y+1/2,-x+1/2,z'
loop_
_atom_site_label
_atom_site_type_symbol
_atom_site_fract_x
_atom_site_fract_y
_atom_site_fract_z
_atom_site_occupancy
Pr1 Pr 0.250 0.250 0.202 1
B1 B 0.250 0.250 0.612 1
Ru1 Ru 0.250 0.750 0.500 1
# * total magnetic moment: 0.02 μB/f.u.
# * density of states at the Fermi level: 1.015 states/eV/atom

***

Run x
# PrBRu GGA-PBE relaxed
data_PrBRu
_chemical_formula_sum 'Pr1 B1 Ru1'
_cell_length_a 3.6776
_cell_length_b 3.6776
_cell_length_c 4.5460
_cell_angle_alpha 90.00
_cell_angle_beta 90.00
_cell_angle_gamma 120.00
_space_group_name_H-M_alt 'P -6 m 2'
_space_group_IT_number 187
_space_group_name_Hall 'P -6 2'
loop_
_atom_site_label
_atom_site_type_symbol
_atom_site_fract_x
_atom_site_fract_y
_atom_site_fract_z
_atom_site_occupancy
Pr1 Pr 0.0000 0.0000 0.0000 1
B1 B 0.3333 0.6667 0.5000 1
Ru1 Ru 0.6667 0.3333 0.5000 1
# * total magnetic moment: 0.00 μB/f.u.
# * density of states at the Fermi level: 0.558 states/eV/atom

***

Of them, run w has the highest stability.

***

Run w
# PrB2Ru3 GGA-PBE relaxed
data_PrB2Ru3
_chemical_formula_sum 'Pr1 B2 Ru3'
_cell_length_a 5.5862
_cell_length_b 5.5862
_cell_length_c 3.0496
_cell_angle_alpha 90.00
_cell_angle_beta 90.00
_cell_angle_gamma 120.00
_space_group_name_H-M_alt 'P 6/m m m'
_space_group_IT_number 191
_space_group_name_Hall '-P 6 2'
loop_
_atom_site_label
_atom_site_type_symbol
_atom_site_fract_x
_atom_site_fract_y
_atom_site_fract_z
_atom_site_occupancy
Pr1 Pr 0.0000 0.0000 0.0000 1
B1 B 0.3333 0.6667 0.0000 1
Ru1 Ru 0.0000 0.5000 0.5000 1
# * total magnetic moment: 0.00 μB/f.u.
# * density of states at the Fermi level: 0.665 states/eV/atom

***

Run x
# PrB2Ru3 GGA-PBE relaxed
data_PrB2Ru3
_chemical_formula_sum 'Pr3 B6 Ru9'
_cell_length_a 9.0127
_cell_length_b 9.0127
_cell_length_c 3.5824
_cell_angle_alpha 90.00
_cell_angle_beta 90.00
_cell_angle_gamma 120.00
_space_group_name_H-M_alt 'P 6/m m m'
_space_group_IT_number 191
_space_group_name_Hall '-P 6 2'
loop_
_atom_site_label
_atom_site_type_symbol
_atom_site_fract_x
_atom_site_fract_y
_atom_site_fract_z
_atom_site_occupancy
Pr1 Pr 0.0000 0.0000 0.0000 1
Pr2 Pr 0.3333 0.6667 0.5000 1
B1 B 0.1887 0.3775 0.0000 1
Ru1 Ru 0.0000 0.2842 0.5000 1
Ru2 Ru 0.0000 0.5000 0.0000 1
# * total magnetic moment: 0.00 μB/f.u.
# * density of states at the Fermi level: 0.982 states/eV/atom

***

Of them, run w has the highest stability.

***

Run w
# PrB4Ru4 GGA-PBE relaxed
data_PrB4Ru4
_chemical_formula_sum 'Pr2 B8 Ru8'
_cell_length_a 5.413
_cell_length_b 5.413
_cell_length_c 7.444
_cell_angle_alpha 90.00
_cell_angle_beta 90.00
_cell_angle_gamma 90.00
_space_group_name_H-M_alt 'P 42/n m c'
_space_group_IT_number 137
loop_
_space_group_symop_operation_xyz
'x,y,z'
'-x,-y,-z'
'-y+1/2,x,z+1/2'
'y+1/2,-x,-z+1/2'
'-x+1/2,-y+1/2,z'
'x+1/2,y+1/2,-z'
'y,-x+1/2,z+1/2'
'-y,x+1/2,-z+1/2'
'x+1/2,-y,-z'
'-x+1/2,y,z'
'-y,-x,-z+1/2'
'y,x,z+1/2'
'-x,y+1/2,-z'
'x,-y+1/2,z'
'y+1/2,x+1/2,-z+1/2'
'-y+1/2,-x+1/2,z+1/2'
loop_
_atom_site_label
_atom_site_type_symbol
_atom_site_fract_x
_atom_site_fract_y
_atom_site_fract_z
_atom_site_occupancy
Pr1 Pr 0.250 0.750 0.250 1
B1 B 0.078 0.250 0.099 1
Ru1 Ru 0.006 0.750 0.613 1
# * total magnetic moment: 0.00 μB/f.u.
# * density of states at the Fermi level: 0.877 states/eV/atom

***

Run x
# PrB4Ru4 GGA-PBE relaxed
data_PrB4Ru4
_chemical_formula_sum 'Pr2 B8 Ru8'
_cell_length_a 7.565
_cell_length_b 7.565
_cell_length_c 4.021
_cell_angle_alpha 90.00
_cell_angle_beta 90.00
_cell_angle_gamma 90.00
_space_group_name_H-M_alt 'P 42/n'
_space_group_IT_number 86
loop_
_space_group_symop_operation_xyz
'x,y,z'
'-x,-y,-z'
'-y,x+1/2,z+1/2'
'y,-x+1/2,-z+1/2'
'-x+1/2,-y+1/2,z'
'x+1/2,y+1/2,-z'
'y+1/2,-x,z+1/2'
'-y+1/2,x,-z+1/2'
loop_
_atom_site_label
_atom_site_type_symbol
_atom_site_fract_x
_atom_site_fract_y
_atom_site_fract_z
_atom_site_occupancy
Pr1 Pr 0.250 0.250 0.250 1
B1 B 0.039 0.917 0.140 1
Ru1 Ru 0.105 0.642 0.140 1
# * total magnetic moment: 0.00 μB/f.u.
# * density of states at the Fermi level: 0.798 states/eV/atom

***

Of them, run x has the highest stability.

***

Run w
# RbB2Pt2 GGA-PBE relaxed
data_RbB2Pt2
_chemical_formula_sum 'Rb2 B4 Pt4'
_cell_length_a 4.279
_cell_length_b 4.279
_cell_length_c 12.600
_cell_angle_alpha 90.00
_cell_angle_beta 90.00
_cell_angle_gamma 90.00
_space_group_name_H-M_alt 'I 4/m m m'
_space_group_IT_number 139
_space_group_name_Hall '-I 4 2'
loop_
_atom_site_label
_atom_site_type_symbol
_atom_site_fract_x
_atom_site_fract_y
_atom_site_fract_z
_atom_site_occupancy
Rb1 Rb 0.000 0.000 0.000 1
B1 B 0.000 0.500 0.250 1
Pt1 Pt 0.000 0.000 0.262 1
# * total magnetic moment: 0.00 μB/f.u.
# * density of states at the Fermi level: 0.347 states/eV/atom

***

Run x
# RbB2Pt2 GGA-PBE relaxed
data_RbB2Pt2
_chemical_formula_sum 'Rb4 B8 Pt8'
_cell_length_a 6.463
_cell_length_b 6.463
_cell_length_c 10.421
_cell_angle_alpha 90.00
_cell_angle_beta 90.00
_cell_angle_gamma 90.00
_space_group_name_H-M_alt 'I 41 m d'
_space_group_IT_number 109
_space_group_name_Hall 'I 4bw -2'
loop_
_atom_site_label
_atom_site_type_symbol
_atom_site_fract_x
_atom_site_fract_y
_atom_site_fract_z
_atom_site_occupancy
Rb1 Rb 0.000 0.000 0.000 1
B1 B 0.000 0.364 0.776 1
Pt1 Pt 0.000 0.271 0.593 1
# * total magnetic moment: 0.00 μB/f.u.
# * density of states at the Fermi level: 0.486 states/eV/atom

***

Of them, run w has the highest stability.

***

Run w
# RbBPt GGA-PBE relaxed
data_RbBPt
_chemical_formula_sum 'Rb1 B1 Pt1'
_cell_length_a 3.6117
_cell_length_b 3.6117
_cell_length_c 5.7418
_cell_angle_alpha 90.00
_cell_angle_beta 90.00
_cell_angle_gamma 120.00
_space_group_name_H-M_alt 'P -6 m 2'
_space_group_IT_number 187
_space_group_name_Hall 'P -6 2'
loop_
_atom_site_label
_atom_site_type_symbol
_atom_site_fract_x
_atom_site_fract_y
_atom_site_fract_z
_atom_site_occupancy
Rb1 Rb 0.0000 0.0000 0.0000 1
B1 B 0.3333 0.6667 0.5000 1
Pt1 Pt 0.6667 0.3333 0.5000 1
# * total magnetic moment: 0.00 μB/f.u.
# * density of states at the Fermi level: 0.528 states/eV/atom

***

Run x
# RbBPt GGA-PBE relaxed
data_RbBPt
_chemical_formula_sum 'Rb4 B4 Pt4'
_cell_length_a 20.861
_cell_length_b 3.498
_cell_length_c 5.204
_cell_angle_alpha 90.00
_cell_angle_beta 90.00
_cell_angle_gamma 90.00
_space_group_name_H-M_alt 'C 1 2/m 1'
_space_group_IT_number 12
_space_group_name_Hall '-C 2y'
loop_
_atom_site_label
_atom_site_type_symbol
_atom_site_fract_x
_atom_site_fract_y
_atom_site_fract_z
_atom_site_occupancy
Rb1 Rb 0.144 0.000 0.247 1
B1 B 0.006 0.000 0.750 1
Pt1 Pt 0.000 0.500 0.000 1
Pt2 Pt 0.000 0.500 0.500 1
# * total magnetic moment: 0.00 μB/f.u.
# * density of states at the Fermi level: 0.606 states/eV/atom

***

Of them, run w has the highest stability.